KCeCrF6 GGA+U relaxed; raw total energy = -107.9 eV for the cell shown; space-group type = P-31c (163); magnetic moment = 5.0 μB/f.u.; DOS(E_F) = 27.3 states/eV per cell
1.0
6.0684 0.0000 0.0000
-3.0342 5.2554 0.0000
0.0000 0.0000 10.6093
K Ce Cr F
2 2 2 12
Cartesian
0.0000 0.0000 0.0000 K
0.0000 0.0000 5.3047 K
0.0000 3.5036 2.6523 Ce
3.0342 1.7518 7.9570 Ce
0.0000 3.5036 7.9570 Cr
3.0342 1.7518 2.6523 Cr
-1.0426 1.9789 6.8239 F
-1.8417 3.3631 9.0901 F
1.0426 1.9789 9.0901 F
-0.7992 5.1689 6.8239 F
2.2350 0.0865 1.5193 F
1.1924 1.8923 3.7854 F
1.8417 3.3631 6.8239 F
0.7992 5.1689 9.0901 F
3.8334 0.0865 3.7854 F
1.9916 3.2765 1.5193 F
4.8759 1.8923 1.5193 F
4.0768 3.2765 3.7854 F